Entry from OQMD via LeMat-Bulk: a geometry-optimized Cs2LiCdF6 structure (PBE).

Output
For the excess energy over the best structure of this formula in the dataset, the calculation gives 0.044 eV/atom. As for the space-group type: P-1 (2).

a = 5.889 Å, b = 5.892 Å, c = 8.343 Å
α = 90.01°, β = 90.00°, γ = 90.04°
Element x y z (fractional)
F 0.692 0.312 0.000
Cs 0.450 0.050 0.250
F 0.449 0.549 0.760
F 0.208 0.789 0.000
F 0.714 0.806 0.501
Cd 0.950 0.050 0.000
Cd 0.450 0.550 0.500
F 0.949 0.050 0.260
Li 0.950 0.050 0.500
F 0.951 0.050 0.740
F 0.186 0.293 0.499
F 0.688 0.792 0.999
Li 0.450 0.550 0.000
Cs 0.950 0.550 0.750
F 0.707 0.286 0.500
F 0.451 0.550 0.240
Cs 0.950 0.550 0.250
Cs 0.450 0.050 0.750
F 0.193 0.813 0.500
F 0.213 0.309 0.001